Record 1
First-principles (meta-GGA SCAN) data for a crystal of TcOs relaxed with PBEsol, as listed in Alexandria.

It has space group C2/m (No. 12), with a = 9.8381 Å, b = 2.7270 Å, c = 4.7292 Å, α = 90.00°, β = 118.61° and γ = 90.00°. Symmetry generates all atoms from Tc at (0.1242, 0.0000, 0.4582) and Os at (0.1253, 0.5000, 0.9592).

The calculation puts the formation energy at -0.116 eV/atom.

Record 2
First-principles (meta-GGA SCAN) data for a crystal of Mn2MoIr relaxed with PBEsol, as listed in Alexandria.

It has space group R3m (No. 160, hexagonal axes), with a = 2.6451 Å, b = 2.6451 Å, c = 25.4677 Å, α = 90.00°, β = 90.00° and γ = 120.00°. Symmetry generates all atoms from Mn at (0.0000, 0.0000, 0.0000), Mn at (0.0000, 0.0000, 0.2610), Mo at (0.0000, 0.0000, 0.7541) and Ir at (0.0000, 0.0000, 0.5105).

The calculation puts the formation energy at 0.005 eV/atom.

Record 3
First-principles (meta-GGA SCAN) data for a crystal of NaPRuS2 relaxed with PBEsol, as listed in Alexandria.

It has space group P4/mmm (No. 123), with a = 4.6316 Å, b = 4.6316 Å, c = 4.6159 Å, α = 90.00°, β = 90.00° and γ = 90.00°. Symmetry generates all atoms from Na at (0.0000, 0.0000, 0.0000), P at (0.0000, 0.0000, 0.5000), Ru at (0.5000, 0.5000, 0.5000) and S at (0.0000, 0.5000, 0.0000).

For the uncorrected formation energy, the calculation gives 1.62 eV per atom.

Record 4
First-principles (meta-GGA SCAN) data for a crystal of LiMgCd relaxed with PBEsol, as listed in Alexandria.

It has space group Cmcm (No. 63), with a = 4.7273 Å, b = 10.1495 Å, c = 4.7304 Å, α = 90.00°, β = 90.00° and γ = 90.00°. Symmetry generates all atoms from Li at (0.0000, 0.0745, 0.2500), Mg at (0.0000, 0.2533, 0.7500) and Cd at (0.0000, 0.4200, 0.2500).

The calculation puts the formation energy at -0.264 eV/atom.

Record 5
First-principles (meta-GGA SCAN) data for a crystal of SrTa2Re relaxed with PBEsol, as listed in Alexandria.

It has space group Cmmm (No. 65), with a = 3.2840 Å, b = 4.7768 Å, c = 10.0506 Å, α = 90.00°, β = 90.00° and γ = 90.00°. Symmetry generates all atoms from Sr at (0.0000, 0.0000, 0.0000), Ta at (0.0000, 0.5000, 0.2938) and Re at (0.0000, 0.0000, 0.5000).

The calculation puts the formation energy at 0.566 eV/atom.

Record 6
First-principles (meta-GGA SCAN) data for a crystal of K2HgTe2 relaxed with PBEsol, as listed in Alexandria.

It has space group I4/mmm (No. 139), with a = 6.9360 Å, b = 6.9360 Å, c = 8.9720 Å, α = 90.00°, β = 90.00° and γ = 90.00°. Symmetry generates all atoms from K at (0.0000, 0.5000, 0.2500), Hg at (0.0000, 0.0000, 0.0000) and Te at (0.0000, 0.0000, 0.2940).

For the uncorrected formation energy, the calculation gives -0.79 eV per atom.

Record 7
First-principles (meta-GGA SCAN) data for a crystal of Hf3GeI relaxed with PBEsol, as listed in Alexandria.

It has space group Pm-3m (No. 221), with a = 5.1151 Å, b = 5.1151 Å, c = 5.1151 Å, α = 90.00°, β = 90.00° and γ = 90.00°. Symmetry generates all atoms from Hf at (0.0000, 0.0000, 0.5000), Ge at (0.5000, 0.5000, 0.5000) and I at (0.0000, 0.0000, 0.0000).

For the uncorrected formation energy, the calculation gives 1.46 eV per atom.

Record 8
First-principles (meta-GGA SCAN) data for a crystal of ZnIr3N relaxed with PBEsol, as listed in Alexandria.

It has space group Pm-3m (No. 221), with a = 4.4592 Å, b = 4.4592 Å, c = 4.4592 Å, α = 90.00°, β = 90.00° and γ = 90.00°. Symmetry generates all atoms from Zn at (0.0000, 0.0000, 0.0000), Ir at (0.0000, 0.0000, 0.5000) and N at (0.5000, 0.5000, 0.5000).

For the uncorrected formation energy, the calculation gives 3.02 eV per atom.